[1]
# PBEsol MgTl, optimized geometry
data_MgTl
_chemical_formula_sum 'Mg4 Tl4'
_cell_length_a 3.494
_cell_length_b 11.178
_cell_length_c 5.018
_cell_angle_alpha 90.00
_cell_angle_beta 90.00
_cell_angle_gamma 90.00
_space_group_name_H-M_alt 'C m c m'
_space_group_IT_number 63
_space_group_name_Hall '-C 2c 2'
loop_
_atom_site_label
_atom_site_fract_x
_atom_site_fract_y
_atom_site_fract_z
Mg1 0.000 0.101 0.250
Tl1 0.000 0.369 0.250
# M_tot (μB per cell): 0.00
# Crystal system: orthorhombic
# Mass density (g/cm3): 7.75
# Total DFT energy (no corrections) (eV/atom): -2.215

=====

[2]
# PBEsol ScCu2, optimized geometry
data_ScCu2
_chemical_formula_sum 'Sc4 Cu8'
_cell_length_a 5.998
_cell_length_b 5.998
_cell_length_c 5.998
_cell_angle_alpha 90.00
_cell_angle_beta 90.00
_cell_angle_gamma 90.00
_space_group_name_H-M_alt 'F m -3 m'
_space_group_IT_number 225
_space_group_name_Hall '-F 4 2 3'
loop_
_atom_site_label
_atom_site_fract_x
_atom_site_fract_y
_atom_site_fract_z
Sc1 0.000 0.000 0.000
Cu1 0.250 0.250 0.250
# M_tot (μB per cell): 0.00
# Crystal system: cubic
# Mass density (g/cm3): 5.30
# Total DFT energy (no corrections) (eV/atom): -4.692